! TbGa2Rh5 (PBE-GGA, optimized geometry); values from VASP
&SYSTEM
  ibrav = 0, nat = 8, ntyp = 3
/
ATOMIC_SPECIES
Tb 158.93 Tb.upf
Ga 69.72 Ga.upf
Rh 102.91 Rh.upf
ATOMIC_POSITIONS crystal
Tb 0.000 0.000 0.000
Ga 0.757 0.743 0.743
Ga 0.243 0.257 0.257
Rh 0.000 0.500 0.500
Rh 0.635 0.566 0.164
Rh 0.365 0.434 0.836
Rh 0.365 0.836 0.434
Rh 0.635 0.164 0.566
CELL_PARAMETERS angstrom
3.732 0.000 0.000
1.866 6.170 0.595
1.866 1.718 5.955
! Electronic total energy: -6.4077 eV per atom
! Mass density: 10.125 g/cm3